A relaxed RbTcCl5 crystal. Source: Alexandria via LeMat-Bulk, functional PBE.

abc: 8.2495 7.5602 7.5602
angles: 45.47 56.94 56.94
Closest atoms and distances in Å follow each position.
Atoms (fractional coordinates):
1 Rb 0.0000 0.8767 0.1233  6 Cl 3.35-3.43
2 Tc 0.5000 0.4175 0.5825  5 Cl 2.24-2.35
3 Cl 0.7026 0.1392 0.4556  1 Tc 2.32
4 Cl 0.5000 0.8016 0.1984  1 Tc 2.24
5 Cl 0.2974 0.5445 0.8608  1 Tc 2.32
6 Cl 0.7836 0.3756 0.6244  1 Tc 2.35
7 Cl 0.2164 0.3756 0.6244  1 Tc 2.35

The total DFT energy (no corrections) comes out at -3.941 eV per atom. For the calculated density, the calculation gives 2.21 g/cm3. For the total moment, the calculation gives 3.0 Bohr magnetons per cell. Its uncorrected formation energy is -1003 meV per atom.